No. 1
Compound: AcPuAu3
Source: the Alexandria database
Functional: PBE-GGA
Structure: optimized geometry

ΔH_f (0 K)   -0.65 eV per atom
Spin magnetization   11.75 Bohr magnetons per cell
Crystal system   orthorhombic
DOS at the Fermi energy   2.59 states/eV per atom
Symmetry   Cmcm (63)

Cell and atoms, written as POSCAR:
```
AcPuAu3
1.0
4.713 0.000 0.000
0.000 3.872 0.000
0.000 -1.936 14.272
Au Ac Pu
6 2 2
Cartesian
1.178 0.000 10.721
3.535 0.000 9.048
1.178 1.936 5.224
3.535 1.936 3.551
3.535 1.936 0.737
1.178 0.000 13.535
3.535 1.936 12.136
1.178 0.000 2.136
3.535 0.000 5.984
1.178 1.936 8.288
```

No. 2
Compound: TcHgOs2
Source: the Alexandria database
Functional: PBE-GGA
Structure: optimized geometry

ΔH_f (0 K)   0.57 eV per atom
Spin magnetization   0.00 Bohr magnetons per cell
Crystal system   orthorhombic
DOS at the Fermi energy   1.16 states/eV per atom
Symmetry   Pmm2 (25)

Cell and atoms, written as POSCAR:
```
TcHgOs2
1.0
3.897 0.000 0.000
0.000 2.790 0.006
0.000 2.774 5.900
Hg Os Tc
1 2 1
Cartesian
1.948 4.173 4.427
1.948 1.390 1.486
0.000 2.788 0.207
0.000 2.785 2.745
```

No. 3
Compound: MnIn3Br5
Source: the Alexandria database
Functional: PBE-GGA
Structure: optimized geometry

Formation energy without anion corrections   -684 meV/atom
Spin magnetization   9.99 Bohr magnetons per cell
Crystal system   tetragonal
DOS at the Fermi energy   0.00 states/eV per atom
Symmetry   I4/mcm (140)

Cell and atoms, written as POSCAR:
```
MnIn3Br5
1.0
7.468 0.000 -4.109
-2.260 7.118 -4.109
0.651 0.890 10.025
Br In Mn
10 6 2
Cartesian
3.162 2.508 -0.245
-0.636 4.235 4.836
2.604 3.559 -4.109
6.494 3.773 -3.029
0.705 6.067 -1.569
5.154 1.941 3.376
0.000 0.000 0.000
2.697 5.500 2.052
1.822 0.676 6.161
4.037 7.331 -4.353
4.523 1.078 -3.299
4.231 5.783 -1.151
4.864 4.637 -6.163
1.627 2.224 2.958
0.344 2.480 -2.054
0.684 6.039 -4.918
5.361 2.224 0.904
0.497 5.783 0.904
```

No. 4
Compound: TlAg2RhCl6
Source: the Alexandria database
Functional: PBE-GGA
Structure: optimized geometry

Formation energy without anion corrections   -625 meV/atom
Spin magnetization   0.00 Bohr magnetons per cell
Crystal system   triclinic
Symmetry   P-1 (2)

Cell and atoms, written as POSCAR:
```
TlAg2RhCl6
1.0
6.809 0.003 -0.010
-3.402 5.896 0.000
-3.405 -1.967 6.954
Ag Cl Tl Rh
2 6 1 1
Cartesian
0.054 3.954 0.265
0.052 0.030 6.401
-1.893 3.919 5.458
-0.953 1.687 1.220
1.998 0.065 1.211
-2.421 -0.235 5.465
1.059 2.297 5.450
2.526 4.218 1.205
3.458 1.994 3.329
0.054 3.958 6.807
```

No. 5
Compound: Ba2GdCu3SO6
Source: the Alexandria database
Functional: PBE-GGA
Structure: optimized geometry

Formation energy without anion corrections   -1635 meV/atom
Spin magnetization   6.83 Bohr magnetons per cell
Crystal system   orthorhombic
DOS at the Fermi energy   0.35 states/eV per atom
Symmetry   Pmmm (47)

Cell and atoms, written as POSCAR:
```
Ba2GdCu3SO6
1.0
-3.694 -0.823 0.587
0.911 -1.354 3.834
-1.827 11.366 4.449
O Cu Ba Gd S
6 3 2 1 1
Cartesian
-2.970 6.576 3.029
-0.236 3.628 3.602
-1.543 9.603 3.759
-0.283 1.763 0.690
-2.551 3.967 2.007
-0.679 6.384 4.681
-1.156 7.191 2.815
0.000 0.000 0.000
-0.671 4.175 1.634
-2.849 7.979 5.760
-1.761 1.210 3.110
-2.305 4.594 4.435
0.456 -0.677 1.917
```

No. 6
Compound: Mn2CoPb
Source: the Alexandria database
Functional: PBE-GGA
Structure: optimized geometry

ΔH_f (0 K)   0.42 eV per atom
Spin magnetization   8.76 Bohr magnetons per cell
Crystal system   cubic
DOS at the Fermi energy   0.73 states/eV per atom
ΔE to the lowest computed polymorph   103 meV per atom
Symmetry   Fm-3m (225)

Cell and atoms, written as POSCAR:
```
Mn2CoPb
1.0
3.034 -2.871 1.606
-0.360 -1.522 4.193
-1.130 -4.266 0.742
Mn Co Pb
2 1 1
Cartesian
0.386 -2.165 1.635
1.158 -6.494 4.906
0.000 0.000 0.000
0.772 -4.330 3.271
```

No. 7
Compound: NaAuIO2
Source: the Alexandria database
Functional: PBE-GGA
Structure: optimized geometry

Formation energy without anion corrections   466 meV/atom
Spin magnetization   3.06 Bohr magnetons per cell
Crystal system   tetragonal
DOS at the Fermi energy   0.52 states/eV per atom
ΔE to the lowest computed polymorph   513 meV per atom
Symmetry   P4/mmm (123)

Cell and atoms, written as POSCAR:
```
NaAuIO2
1.0
4.288 0.000 0.000
0.000 4.288 0.000
0.000 0.000 6.632
Au O I Na
1 2 1 1
Cartesian
2.144 2.144 3.316
0.000 2.144 0.000
2.144 0.000 0.000
0.000 0.000 3.316
0.000 0.000 0.000
```

No. 8
Compound: Ba8Pt2Cl
Source: the Alexandria database
Functional: PBE-GGA
Structure: optimized geometry

Formation energy without anion corrections   -499 meV/atom
Spin magnetization   0.99 Bohr magnetons per cell
Crystal system   trigonal
DOS at the Fermi energy   1.20 states/eV per atom
Symmetry   P-3 (147)

Cell and atoms, written as POSCAR:
```
Ba8Pt2Cl
1.0
6.656 0.000 0.000
-0.001 8.785 -5.072
0.000 -0.002 10.147
Ba Pt Cl
8 2 1
Cartesian
4.989 7.348 -2.603
4.990 2.856 0.010
4.990 7.363 2.595
1.666 5.927 5.065
4.993 2.927 5.074
1.663 5.856 0.001
1.666 1.420 2.479
1.666 1.435 7.678
4.975 5.857 0.000
1.680 2.927 5.074
0.000 -0.002 10.147
```